{"formula": "TbCr2SiO6", "functional": "PBE with a Hubbard U", "state": "relaxed", "dft_energy_ev_per_atom": -7.893, "mass_density_g_cm3": 5.781, "spacegroup": "P1, No. 1", "lattice_angstrom": [[5.179, 0.020, -0.124], [2.605, 4.453, -0.110], [2.481, 1.439, 4.757]], "species": ["Tb", "Cr", "Cr", "Si", "O", "O", "O", "O", "O", "O"], "frac_coords": [[0.799, 0.796, 0.588], [0.515, 0.534, 0.423], [0.010, 0.009, 0.975], [0.324, 0.322, 0.028], [0.585, 0.231, 0.219], [0.241, 0.969, 0.218], [0.995, 0.580, 0.218], [0.376, 0.701, 0.770], [0.692, 0.147, 0.776], [0.125, 0.374, 0.799]]}